Here is Li2Ni3WO8 after structural relaxation from the Alexandria database. Energies are from GGA+U.

Properties
As for the volume: 10.7 Å³/atom. The value obtained for the total DFT energy (no corrections) is -5.610 eV per atom.

Cell lengths 5.953, 5.953, 5.982 Å; angles 119.53, 119.53, 59.49 degrees
Fractional positions:
Li: 0.133 0.133 0.394
Li: 0.867 0.867 0.606
Ni: 0.000 0.500 0.000
Ni: 0.500 0.000 0.000
Ni: 0.500 0.500 0.000
W: 0.500 0.500 0.500
O: 0.267 0.267 0.252
O: 0.271 0.728 0.265
O: 0.272 0.272 0.811
O: 0.272 0.729 0.735
O: 0.728 0.271 0.265
O: 0.728 0.728 0.189
O: 0.729 0.272 0.735
O: 0.733 0.733 0.748